Computed, not measured: an optimized crystal structure of FeOs2Se at the PBE level of DFT.

Values from the calculation:
Its crystal system is monoclinic. The value obtained for the calculated volume is 14.8 Å³/atom. As for the formation energy without anion corrections: 0.7167 eV per atom. The value obtained for the total energy is -7.88 eV/atom. The calculation puts the total moment at 2.8 μB per formula unit.

Unit cell a=2.7898 b=4.5417 c=4.6667 alpha=90.00 beta=92.06 gamma=90.00
Space group P2/m (No. 10)
Asymmetric unit:
Fe (0.0000, 0.0000, 0.0000)
Os (0.2638, 0.5000, 0.7547)
Se (0.5000, 0.0000, 0.5000)



Computed, not measured: an optimized crystal structure of GaPO at the PBE level of DFT.

Values from the calculation:
Its crystal system is triclinic. The energy above the most stable polymorph in this dataset comes out at 0.074 eV/atom. The value obtained for the calculated volume is 19.0 Å³/atom. As for the formation energy without anion corrections: -0.9307 eV per atom. The value obtained for the total energy is -5.40 eV/atom. The calculation puts the total moment at 0.0 μB per formula unit.

Unit cell a=4.4040 b=5.3438 c=5.5278 alpha=80.36 beta=68.75 gamma=70.21
Space group P1 (No. 1)
Asymmetric unit:
Ga (0.0000, 0.0000, 0.0000)
Ga (0.2266, 0.7269, 0.6255)
P (0.5389, 0.2767, 0.7040)
P (0.7466, 0.9170, 0.4500)
O (0.3377, 0.1642, 0.9762)
O (0.8428, 0.3143, 0.7612)



Computed, not measured: an optimized crystal structure of Al2FeP at the PBE level of DFT.

Values from the calculation:
Its crystal system is tetragonal. The formation energy is -0.16 eV/f.u. The value obtained for the calculated volume is 13.7 Å³/atom. The value obtained for the total energy is -5.38 eV/atom. The calculation puts the total moment at 1.5 μB per formula unit.

Unit cell a=3.2955 b=3.2955 c=5.0470 alpha=90.00 beta=90.00 gamma=90.00
Space group P4mm (No. 99)
Asymmetric unit:
Al (0.0000, 0.0000, 0.0000)
Al (0.5000, 0.5000, 0.2930)
Fe (0.0000, 0.0000, 0.5037)
P (0.5000, 0.5000, 0.7775)



Computed, not measured: an optimized crystal structure of SmAl8Pd4 at the PBE level of DFT.

Values from the calculation:
Its crystal system is tetragonal. The formation energy is -9.40 eV/f.u. The value obtained for the calculated volume is 16.5 Å³/atom. The value obtained for the total energy is -4.99 eV/atom. The calculation puts the total moment at 0.0 μB per formula unit.

Unit cell a=8.8784 b=8.8784 c=5.4487 alpha=90.00 beta=90.00 gamma=90.00
Space group I4/mmm (No. 139)
Asymmetric unit:
Sm (0.0000, 0.0000, 0.0000)
Al (0.0000, 0.2217, 0.5000)
Al (0.0000, 0.3484, 0.0000)
Pd (0.2500, 0.2500, 0.2500)



Computed, not measured: an optimized crystal structure of LiZn2Br at the PBE level of DFT.

Values from the calculation:
Its crystal system is orthorhombic. The energy above the most stable polymorph in this dataset comes out at 0.003 eV/atom. The value obtained for the calculated volume is 22.1 Å³/atom. As for the formation energy without anion corrections: -0.4466 eV per atom. The value obtained for the total energy is -1.98 eV/atom. The calculation puts the total moment at 0.0 μB per formula unit.

Unit cell a=3.6528 b=3.7161 c=13.0298 alpha=90.00 beta=90.00 gamma=90.00
Space group Immm (No. 71)
Asymmetric unit:
Li (0.0000, 0.0000, 0.0000)
Zn (0.0000, 0.5000, 0.2503)
Br (0.0000, 0.0000, 0.5000)



Computed, not measured: an optimized crystal structure of ScIn2Ga2 at the PBE level of DFT.

Values from the calculation:
Its crystal system is tetragonal. The energy above the most stable polymorph in this dataset comes out at 0.118 eV/atom. The formation energy is -0.12 eV/f.u. The value obtained for the calculated volume is 22.5 Å³/atom. The value obtained for the total energy is -3.60 eV/atom. The calculation puts the total moment at 0.0 μB per formula unit.

Unit cell a=7.9214 b=7.9214 c=3.5864 alpha=90.00 beta=90.00 gamma=90.00
Space group P4/mbm (No. 127)
Asymmetric unit:
Sc (0.0000, 0.0000, 0.0000)
In (0.1340, 0.3660, 0.0000)
Ga (0.1683, 0.6683, 0.5000)